[1]
CePaOsRh: relaxed, PBE.

abc: 6.9061 6.9061 6.9061
angles: 90.00 90.00 90.00
Space group F-43m (No. 216)
Unique sites:
Ce: 0.0000 0.0000 0.0000
Pa: 0.0000 0.0000 0.5000
Os: 0.2500 0.2500 0.2500
Rh: 0.2500 0.2500 0.7500

Its formation energy is -0.384 eV per atom. The density of states at the Fermi level comes out at 26.70 states/eV per cell. The size of the total moment is 0.001 μB per atom. The value obtained for the theoretical density is 13.40 g cm⁻³. For the total energy, the calculation gives -8.887 eV per atom.

---

[2]
Mg2Sc3Ga4: relaxed, PBE.

abc: 10.3500 4.4826 8.5368
angles: 90.00 119.10 90.00
Space group C2/m (No. 12)
Unique sites:
Mg: 0.1325 0.0000 0.3000
Sc: 0.0000 0.5000 0.0000
Sc: 0.1553 0.0000 0.6764
Ga: 0.0478 0.5000 0.3846
Ga: 0.2174 0.0000 0.0526

Its formation energy is -0.425 eV per atom. The density of states at the Fermi level comes out at 10.03 states/eV per cell. The size of the total moment is 0.000 μB per atom. The value obtained for the theoretical density is 4.44 g cm⁻³. For the total energy, the calculation gives -4.235 eV per atom.

---

[3]
SmTmGaPt: relaxed, PBE.

abc: 7.1108 7.1108 7.1108
angles: 90.00 90.00 90.00
Space group F-43m (No. 216)
Unique sites:
Sm: 0.0000 0.0000 0.0000
Tm: 0.0000 0.0000 0.5000
Ga: 0.2500 0.2500 0.2500
Pt: 0.2500 0.2500 0.7500

Its formation energy is -0.836 eV per atom. The density of states at the Fermi level comes out at 11.96 states/eV per cell. The size of the total moment is 0.000 μB per atom. For the energy relative to the lowest polymorph listed for this composition, the calculation gives 72 meV per atom. The value obtained for the theoretical density is 10.79 g cm⁻³. For the total energy, the calculation gives -5.401 eV per atom.

---

[4]
PrB3Ir6: relaxed, PBE.

abc: 5.5279 5.6768 5.6823
angles: 119.94 105.90 90.05
Space group P1 (No. 1)
Unique sites:
Pr: 0.0000 0.0000 0.0000
B: 0.4876 0.7710 0.5414
B: 0.9426 0.3375 0.6757
B: 0.9714 0.6642 0.3294
Ir: 0.2415 0.5324 0.5906
Ir: 0.2421 0.0584 0.5920
Ir: 0.2425 0.5404 0.0796
Ir: 0.6836 0.4557 0.9136
Ir: 0.6997 0.4541 0.4047
Ir: 0.7001 0.9493 0.4034

Its formation energy is -0.356 eV per atom. The density of states at the Fermi level comes out at 6.32 states/eV per cell. The size of the total moment is 0.000 μB per atom. The value obtained for the theoretical density is 15.03 g cm⁻³. For the total energy, the calculation gives -8.153 eV per atom.

---

[5]
TaNb12W6: relaxed, PBE.

abc: 13.4022 13.4022 6.9071
angles: 90.00 90.00 120.00
Space group R-3m (No. 166, hexagonal axes)
Unique sites:
Ta: 0.0000 0.0000 0.0000
Nb: 0.0878 0.1757 0.3327
Nb: 0.1043 0.5521 0.5636
W: 0.0000 0.2972 0.5000

Its formation energy is 0.482 eV per atom. The density of states at the Fermi level comes out at 53.74 states/eV per cell. The size of the total moment is 0.000 μB per atom. The value obtained for the theoretical density is 11.12 g cm⁻³. For the total energy, the calculation gives -10.592 eV per atom.

---

[6]
La4SnSbI2: relaxed, PBE.

abc: 7.9646 4.6690 8.0951
angles: 90.00 109.71 90.00
Space group P2/m (No. 10)
Unique sites:
La: 0.2257 0.0000 0.2403
La: 0.2257 0.5000 0.7432
Sn: 0.0000 0.5000 0.0000
Sb: 0.0000 0.0000 0.5000
I: 0.5000 0.0000 0.0000
I: 0.5000 0.5000 0.5000

The density of states at the Fermi level comes out at 5.21 states/eV per cell. The size of the total moment is 0.000 μB per atom. The value obtained for the theoretical density is 6.15 g cm⁻³. For the total energy, the calculation gives -4.958 eV per atom. For the uncorrected formation energy, the calculation gives -1092 meV/atom.

---

Number 1: V 20.59 Å³/atom. Number 2: V 19.23 Å³/atom. Number 3: V 22.47 Å³/atom. Number 4: V 14.66 Å³/atom. Number 5: V 18.85 Å³/atom. Number 6: V 35.42 Å³/atom.